# TiIr2Rh3

A relaxed structure of TiIr2Rh3 (PBE, the Alexandria database).

The structure in POSCAR format:
```
TiIr2Rh3
1.0
2.721 -6.611 0.000
2.721 6.611 0.000
0.000 0.000 5.038
Ti Ir Rh
2 4 6
direct
0.157 0.843 0.750
0.843 0.157 0.250
0.248 0.248 0.000
0.248 0.248 0.500
0.752 0.752 0.000
0.752 0.752 0.500
0.069 0.428 0.750
0.352 0.648 0.250
0.428 0.069 0.250
0.572 0.931 0.750
0.648 0.352 0.750
0.931 0.572 0.250
```

Size of the total moment = 0.00 μB/cell
SG = Cmcm
E_tot = -96.9 eV per cell
ΔH_f (0 K) = -133 meV per atom
Density of states at the Fermi level = 9.609 states/eV/f.u.
Crystal system = orthorhombic

=====

# TiIr4Rh3

A relaxed structure of TiIr4Rh3 (PBE, the Alexandria database).

The structure in POSCAR format:
```
TiIr4Rh3
1.0
-1.366 4.373 5.020
1.366 -4.373 5.020
1.366 4.373 -5.020
Ti Ir Rh
1 4 3
direct
0.000 0.000 0.000
0.130 0.870 0.260
0.389 0.130 0.260
0.611 0.870 0.740
0.870 0.130 0.740
0.210 0.710 0.500
0.500 0.500 0.000
0.790 0.290 0.500
```

Size of the total moment = 0.00 μB/cell
SG = Immm
E_tot = -65.8 eV per cell
ΔH_f (0 K) = -56 meV per atom
Density of states at the Fermi level = 8.355 states/eV/f.u.
Crystal system = orthorhombic

=====

# Ti2IrRh

A relaxed structure of Ti2IrRh (PBE, the Alexandria database).

The structure in POSCAR format:
```
Ti2IrRh
1.0
0.000 3.114 3.114
3.114 0.000 3.114
3.114 3.114 0.000
Ti Ir Rh
2 1 1
direct
0.250 0.250 0.250
0.750 0.750 0.750
0.000 0.000 0.000
0.500 0.500 0.500
```

Size of the total moment = 0.00 μB/cell
SG = Fm-3m
E_tot = -35.1 eV per cell
ΔH_f (0 K) = -783 meV per atom
Density of states at the Fermi level = 4.555 states/eV/f.u.
Crystal system = cubic

=====

# Ti3Ir2Rh2

A relaxed structure of Ti3Ir2Rh2 (PBE, the Alexandria database).

The structure in POSCAR format:
```
Ti3Ir2Rh2
1.0
3.708 -2.144 0.000
3.708 2.144 0.000
-2.464 0.000 7.041
Ti Ir Rh
3 2 2
direct
0.000 0.000 0.000
0.243 0.243 0.729
0.757 0.757 0.271
0.123 0.123 0.370
0.877 0.877 0.630
0.373 0.373 0.121
0.627 0.627 0.879
```

Size of the total moment = 0.00 μB/cell
SG = C2/m
E_tot = -60.6 eV per cell
ΔH_f (0 K) = -647 meV per atom
Density of states at the Fermi level = 3.204 states/eV/f.u.
Crystal system = monoclinic

=====

# TmTiIrRh

A relaxed structure of TmTiIrRh (PBE, the Alexandria database).

The structure in POSCAR format:
```
TmTiIrRh
1.0
0.000 3.247 3.247
3.247 0.000 3.247
3.247 3.247 0.000
Tm Ti Ir Rh
1 1 1 1
direct
0.000 0.000 0.000
0.500 0.500 0.500
0.250 0.250 0.250
0.750 0.750 0.750
```

Size of the total moment = 0.00 μB/cell
SG = F-43m
E_tot = -31.7 eV per cell
ΔH_f (0 K) = -780 meV per atom
Density of states at the Fermi level = 3.179 states/eV/f.u.
Crystal system = cubic

=====

# TiZnIrRh

A relaxed structure of TiZnIrRh (PBE, the Alexandria database).

The structure in POSCAR format:
```
TiZnIrRh
1.0
0.000 3.059 3.059
3.059 0.000 3.059
3.059 3.059 0.000
Ti Zn Ir Rh
1 1 1 1
direct
0.000 0.000 0.000
0.500 0.500 0.500
0.250 0.250 0.250
0.750 0.750 0.750
```

Size of the total moment = 0.00 μB/cell
SG = F-43m
E_tot = -28.3 eV per cell
ΔH_f (0 K) = -735 meV per atom
Density of states at the Fermi level = 1.034 states/eV/f.u.
Crystal system = cubic

=====

# ZrTiIrRh

A relaxed structure of ZrTiIrRh (PBE, the Alexandria database).

The structure in POSCAR format:
```
ZrTiIrRh
1.0
0.000 3.218 3.218
3.218 0.000 3.218
3.218 3.218 0.000
Zr Ti Ir Rh
1 1 1 1
direct
0.000 0.000 0.000
0.500 0.500 0.500
0.250 0.250 0.250
0.750 0.750 0.750
```

Size of the total moment = 0.00 μB/cell
SG = F-43m
E_tot = -35.6 eV per cell
ΔH_f (0 K) = -744 meV per atom
Density of states at the Fermi level = 3.989 states/eV/f.u.
Crystal system = cubic

=====

# TlIr2Rh2

A relaxed structure of TlIr2Rh2 (PBE, the Alexandria database).

The structure in POSCAR format:
```
TlIr2Rh2
1.0
-1.836 1.836 6.467
1.836 -1.836 6.467
1.836 1.836 -6.467
Tl Ir Rh
1 2 2
direct
0.000 0.000 0.000
0.250 0.750 0.500
0.750 0.250 0.500
0.397 0.397 0.000
0.603 0.603 0.000
```

Size of the total moment = 0.00 μB/cell
SG = I4/mmm
E_tot = -33.0 eV per cell
ΔH_f (0 K) = 361 meV per atom
Density of states at the Fermi level = 7.588 states/eV/f.u.
Crystal system = tetragonal

=====

# Tl2IrRh

A relaxed structure of Tl2IrRh (PBE, the Alexandria database).

The structure in POSCAR format:
```
Tl2IrRh
1.0
-1.510 2.347 5.494
1.510 -2.347 5.494
1.510 2.347 -5.494
Tl Ir Rh
2 1 1
direct
0.000 0.000 0.000
0.711 0.211 0.500
0.457 0.457 0.000
0.253 0.753 0.500
```

Size of the total moment = 0.00 μB/cell
SG = Imm2
E_tot = -19.3 eV per cell
ΔH_f (0 K) = 405 meV per atom
Density of states at the Fermi level = 3.762 states/eV/f.u.
Crystal system = orthorhombic

=====

# TlIrRh

A relaxed structure of TlIrRh (PBE, the Alexandria database).

The structure in POSCAR format:
```
TlIrRh
1.0
-1.456 1.985 4.411
1.456 -1.985 4.411
1.456 1.985 -4.411
Tl Ir Rh
1 1 1
direct
0.000 0.000 0.000
0.322 0.322 0.000
0.677 0.677 0.000
```

Size of the total moment = 0.01 μB/cell
SG = Imm2
E_tot = -17.2 eV per cell
ΔH_f (0 K) = 458 meV per atom
Density of states at the Fermi level = 5.301 states/eV/f.u.
Crystal system = orthorhombic

=====

# Tl2IrRh

A relaxed structure of Tl2IrRh (PBE, the Alexandria database).

The structure in POSCAR format:
```
Tl2IrRh
1.0
1.601 0.924 8.546
-1.601 0.924 8.546
0.000 -1.849 8.546
Tl Ir Rh
2 1 1
direct
0.249 0.249 0.249
0.751 0.751 0.751
0.000 0.000 0.000
0.500 0.500 0.500
```

Size of the total moment = 0.00 μB/cell
SG = R-3m
E_tot = -19.2 eV per cell
ΔH_f (0 K) = 426 meV per atom
Density of states at the Fermi level = 3.548 states/eV/f.u.
Crystal system = trigonal

=====

# TlIr2Rh

A relaxed structure of TlIr2Rh (PBE, the Alexandria database).

The structure in POSCAR format:
```
TlIr2Rh
1.0
4.736 0.000 0.000
0.000 4.736 0.000
0.000 0.000 2.932
Tl Ir Rh
1 2 1
direct
0.000 0.000 0.000
0.000 0.500 0.500
0.500 0.000 0.500
0.500 0.500 0.000
```

Size of the total moment = 0.01 μB/cell
SG = P4/mmm
E_tot = -25.2 eV per cell
ΔH_f (0 K) = 570 meV per atom
Density of states at the Fermi level = 7.722 states/eV/f.u.
Crystal system = tetragonal

=====

# TlIr2Rh

A relaxed structure of TlIr2Rh (PBE, the Alexandria database).

The structure in POSCAR format:
```
TlIr2Rh
1.0
-2.022 2.022 3.956
2.022 -2.022 3.956
2.022 2.022 -3.956
Tl Ir Rh
1 2 1
direct
0.000 0.000 0.000
0.250 0.750 0.500
0.750 0.250 0.500
0.500 0.500 0.000
```

Size of the total moment = 0.00 μB/cell
SG = I4/mmm
E_tot = -25.9 eV per cell
ΔH_f (0 K) = 386 meV per atom
Density of states at the Fermi level = 4.247 states/eV/f.u.
Crystal system = tetragonal

=====

# TlIr2Rh2

A relaxed structure of TlIr2Rh2 (PBE, the Alexandria database).

The structure in POSCAR format:
```
TlIr2Rh2
1.0
7.720 0.000 0.000
0.000 7.720 0.000
0.000 0.000 2.796
Tl Ir Rh
2 4 4
direct
0.000 0.000 0.000
0.500 0.500 0.000
0.173 0.327 0.500
0.327 0.827 0.500
0.673 0.173 0.500
0.827 0.673 0.500
0.122 0.622 0.000
0.378 0.122 0.000
0.622 0.878 0.000
0.878 0.378 0.000
```

Size of the total moment = 0.00 μB/cell
SG = P4/mbm
E_tot = -65.6 eV per cell
ΔH_f (0 K) = 394 meV per atom
Density of states at the Fermi level = 7.267 states/eV/f.u.
Crystal system = tetragonal

=====

# TlIr2Rh

A relaxed structure of TlIr2Rh (PBE, the Alexandria database).

The structure in POSCAR format:
```
TlIr2Rh
1.0
2.860 0.000 0.000
0.000 3.852 0.000
0.000 0.000 5.973
Tl Ir Rh
1 2 1
direct
0.000 0.000 0.000
0.000 0.000 0.497
0.500 0.500 0.296
0.500 0.500 0.740
```

Size of the total moment = 0.00 μB/cell
SG = Pmm2
E_tot = -26.2 eV per cell
ΔH_f (0 K) = 322 meV per atom
Density of states at the Fermi level = 4.223 states/eV/f.u.
Crystal system = orthorhombic

=====

# TlIr2Rh

A relaxed structure of TlIr2Rh (PBE, the Alexandria database).

The structure in POSCAR format:
```
TlIr2Rh
1.0
1.418 -2.478 0.000
1.418 2.478 0.000
0.000 0.000 9.572
Tl Ir Rh
1 2 1
direct
0.000 0.000 0.000
0.500 0.500 0.266
0.500 0.500 0.734
0.000 0.000 0.500
```

Size of the total moment = 0.00 μB/cell
SG = Cmmm
E_tot = -24.9 eV per cell
ΔH_f (0 K) = 625 meV per atom
Density of states at the Fermi level = 5.598 states/eV/f.u.
Crystal system = orthorhombic

=====

# TlIr2Rh

A relaxed structure of TlIr2Rh (PBE, the Alexandria database).

The structure in POSCAR format:
```
TlIr2Rh
1.0
-1.414 2.366 4.947
1.414 -2.366 4.947
1.414 2.366 -4.947
Tl Ir Rh
1 2 1
direct
0.000 0.000 0.000
0.267 0.767 0.500
0.733 0.233 0.500
0.500 0.500 0.000
```

Size of the total moment = 0.00 μB/cell
SG = Immm
E_tot = -25.7 eV per cell
ΔH_f (0 K) = 423 meV per atom
Density of states at the Fermi level = 5.188 states/eV/f.u.
Crystal system = orthorhombic

=====

# TlIr2Rh

A relaxed structure of TlIr2Rh (PBE, the Alexandria database).

The structure in POSCAR format:
```
TlIr2Rh
1.0
0.000 3.205 3.205
3.205 0.000 3.205
3.205 3.205 0.000
Tl Ir Rh
1 2 1
direct
0.000 0.000 0.000
0.500 0.500 0.500
0.750 0.750 0.750
0.250 0.250 0.250
```

Size of the total moment = 1.09 μB/cell
SG = F-43m
E_tot = -25.3 eV per cell
ΔH_f (0 K) = 545 meV per atom
Density of states at the Fermi level = 8.211 states/eV/f.u.
Crystal system = cubic

=====

# Tl2IrRh

A relaxed structure of Tl2IrRh (PBE, the Alexandria database).

The structure in POSCAR format:
```
Tl2IrRh
1.0
4.335 -1.612 0.000
4.335 1.612 0.000
-1.195 0.000 5.460
Tl Ir Rh
2 1 1
direct
0.249 0.249 0.249
0.751 0.751 0.751
0.000 0.000 0.500
0.500 0.500 0.000
```

Size of the total moment = 0.00 μB/cell
SG = C2/m
E_tot = -19.2 eV per cell
ΔH_f (0 K) = 431 meV per atom
Density of states at the Fermi level = 4.665 states/eV/f.u.
Crystal system = monoclinic

=====

# TlIr2Rh

A relaxed structure of TlIr2Rh (PBE, the Alexandria database).

The structure in POSCAR format:
```
TlIr2Rh
1.0
3.940 0.000 0.000
0.000 3.940 0.000
0.000 0.000 4.183
Tl Ir Rh
1 2 1
direct
0.000 0.000 0.000
0.000 0.500 0.500
0.500 0.000 0.500
0.500 0.500 0.000
```

Size of the total moment = 0.00 μB/cell
SG = P4/mmm
E_tot = -25.8 eV per cell
ΔH_f (0 K) = 417 meV per atom
Density of states at the Fermi level = 4.700 states/eV/f.u.
Crystal system = tetragonal